1.
La2CuAu: single point on PBEsol structure, meta-GGA SCAN.

```
data_La2CuAu
_symmetry_space_group_name_H-M 'P 1'
_symmetry_Int_Tables_number 1
_cell_length_a 5.143
_cell_length_b 5.143
_cell_length_c 3.707
_cell_angle_alpha 90.00
_cell_angle_beta 90.00
_cell_angle_gamma 90.00
loop_
_symmetry_equiv_pos_as_xyz
'x,y,z'
loop_
_atom_site_label
_atom_site_type_symbol
_atom_site_fract_x
_atom_site_fract_y
_atom_site_fract_z
La1 La 0.000 0.500 0.000
La2 La 0.500 0.000 0.000
Cu1 Cu 0.000 0.000 0.500
Au1 Au 0.500 0.500 0.500
```

Properties
formation energy from the elements	-577.7	meV per atom

***

2.
AlH12N3F6: single point on PBEsol structure, meta-GGA SCAN.

```
data_AlH12N3F6
_symmetry_space_group_name_H-M 'P 1'
_symmetry_Int_Tables_number 1
_cell_length_a 8.862
_cell_length_b 6.182
_cell_length_c 6.182
_cell_angle_alpha 86.82
_cell_angle_beta 90.00
_cell_angle_gamma 90.00
loop_
_symmetry_equiv_pos_as_xyz
'x,y,z'
loop_
_atom_site_label
_atom_site_type_symbol
_atom_site_fract_x
_atom_site_fract_y
_atom_site_fract_z
Al1 Al 0.000 0.000 0.000
Al2 Al 0.500 0.500 0.500
H1 H 0.009 0.546 0.340
H2 H 0.095 0.566 0.573
H3 H 0.156 0.054 0.390
H4 H 0.163 0.615 0.962
H5 H 0.216 0.027 0.655
H6 H 0.225 0.350 0.967
H7 H 0.275 0.850 0.467
H8 H 0.284 0.527 0.155
H9 H 0.337 0.115 0.462
H10 H 0.344 0.554 0.890
H11 H 0.405 0.066 0.073
H12 H 0.491 0.046 0.840
H13 H 0.509 0.840 0.046
H14 H 0.595 0.073 0.066
H15 H 0.656 0.890 0.554
H16 H 0.663 0.462 0.115
H17 H 0.716 0.155 0.527
H18 H 0.725 0.467 0.850
H19 H 0.775 0.967 0.350
H20 H 0.784 0.655 0.027
H21 H 0.837 0.962 0.615
H22 H 0.844 0.390 0.054
H23 H 0.905 0.573 0.566
H24 H 0.991 0.340 0.546
N1 N 0.000 0.504 0.504
N2 N 0.246 0.012 0.492
N3 N 0.254 0.512 0.992
N4 N 0.500 0.004 0.004
N5 N 0.746 0.992 0.512
N6 N 0.754 0.492 0.012
F1 F 0.000 0.202 0.202
F2 F 0.000 0.797 0.797
F3 F 0.063 0.794 0.195
F4 F 0.197 0.074 0.932
F5 F 0.303 0.574 0.432
F6 F 0.437 0.294 0.695
F7 F 0.500 0.297 0.297
F8 F 0.500 0.702 0.702
F9 F 0.563 0.695 0.294
F10 F 0.697 0.432 0.574
F11 F 0.803 0.932 0.074
F12 F 0.937 0.195 0.794
```

Properties
uncorrected energy	-0.2184	hartree per atom

***

3.
Li3Zn: single point on PBEsol structure, meta-GGA SCAN.

```
data_Li3Zn
_symmetry_space_group_name_H-M 'P 1'
_symmetry_Int_Tables_number 1
_cell_length_a 2.842
_cell_length_b 2.842
_cell_length_c 9.543
_cell_angle_alpha 90.00
_cell_angle_beta 90.00
_cell_angle_gamma 120.00
loop_
_symmetry_equiv_pos_as_xyz
'x,y,z'
loop_
_atom_site_label
_atom_site_type_symbol
_atom_site_fract_x
_atom_site_fract_y
_atom_site_fract_z
Li1 Li 0.000 0.000 0.000
Li2 Li 0.667 0.333 0.267
Li3 Li 0.667 0.333 0.733
Zn1 Zn 0.000 0.000 0.500
```

Properties
formation energy from the elements	-28.8	meV per atom

***

Going through the records in order, we get V values of 24.510; 7.685; 16.690 Å³ per atom.